Below is a geometry-optimized ScMn2Tl structure, with properties calculated at the GGA-PBE level.

ΔH_f (0 K)	0.272	eV/atom
size of the total moment	7.01	μB per formula unit

Cell: 4.7229 4.7229 4.7229 Å, 60.00 60.00 60.00°
Fractional coordinates of all 4 atoms:
Sc 0.5000 0.5000 0.5000
Mn 0.2500 0.2500 0.2500
Mn 0.0000 0.0000 0.0000
Tl 0.7500 0.7500 0.7500